No. 1
The following is a DFT calculation (GGA-PBE) of a relaxed structure of TaMoSeBr2.

a = 5.023 Å, b = 5.023 Å, c = 4.943 Å
α = 90.00°, β = 90.00°, γ = 90.00°
Fractional coordinates of all 5 atoms:
Ta1 0.000 0.000 0.000
Mo1 0.500 0.500 0.500
Se1 0.500 0.500 0.000
Br1 0.000 0.500 0.500
Br2 0.500 0.000 0.500

Output
SG: P4/mmm (123)
ΔE_f (raw): 1234 meV/atom

No. 2
The following is a DFT calculation (GGA-PBE) of a relaxed structure of PrDy2SiN4.

a = 6.070 Å, b = 6.070 Å, c = 11.544 Å
α = 90.00°, β = 90.00°, γ = 147.54°
Fractional coordinates of all 16 atoms:
Pr1 0.087 0.913 0.750
Pr2 0.913 0.087 0.250
Dy1 0.368 0.632 0.541
Dy2 0.368 0.632 0.959
Dy3 0.632 0.368 0.041
Dy4 0.632 0.368 0.459
Si1 0.178 0.822 0.250
Si2 0.822 0.178 0.750
N1 0.000 0.000 0.000
N2 0.000 0.000 0.500
N3 0.265 0.735 0.128
N4 0.265 0.735 0.372
N5 0.403 0.597 0.750
N6 0.597 0.403 0.250
N7 0.735 0.265 0.628
N8 0.735 0.265 0.872

Output
SG: Cmcm (63)
ΔE_f (raw): -1339 meV/atom

No. 3
The following is a DFT calculation (GGA-PBE) of a relaxed structure of TiCdIn3.

a = 5.354 Å, b = 5.354 Å, c = 5.354 Å
α = 90.00°, β = 90.00°, γ = 90.00°
Fractional coordinates of all 5 atoms:
Ti1 0.000 0.000 0.000
Cd1 0.500 0.500 0.500
In1 0.000 0.500 0.500
In2 0.500 0.000 0.500
In3 0.500 0.500 0.000

Output
SG: Pm-3m (221)
Formation energy: 0.92 eV/atom

No. 4
The following is a DFT calculation (GGA-PBE) of a relaxed structure of Ac6Ir3Pd2.

a = 7.567 Å, b = 7.567 Å, c = 7.587 Å
α = 99.53°, β = 99.53°, γ = 119.97°
Fractional coordinates of all 11 atoms:
Ac1 0.065 0.409 0.228
Ac2 0.245 0.245 0.769
Ac3 0.409 0.065 0.228
Ac4 0.591 0.935 0.772
Ac5 0.755 0.755 0.231
Ac6 0.935 0.591 0.772
Ir1 0.000 0.000 0.000
Ir2 0.337 0.663 0.000
Ir3 0.663 0.337 0.000
Pd1 0.167 0.833 0.500
Pd2 0.833 0.167 0.500

Output
SG: C2/m (12)
Formation energy: -0.69 eV/atom